{
  "formula": "NdHo2ZrN4",
  "functional": "PBE",
  "state": "relaxed",
  "cell": [[3.439, 0.000, 0.000], [0.000, 5.988, 0.124], [0.000, -2.075, 5.573]],
  "species": ["N", "N", "N", "N", "Ho", "Ho", "Nd", "Zr"],
  "fractional_positions": [[0.500, 0.234, 0.243], [0.500, 0.766, 0.757], [0.000, 0.232, 0.749], [0.000, 0.768, 0.251], [0.000, 0.500, 0.500], [0.500, 0.000, 0.500], [0.500, 0.500, 0.000], [0.000, 0.000, 0.000]],
  "e_form_raw_ev_per_fu": -12.933,
  "dos_at_fermi_per_ev_fu": 1.2,
  "dft_energy_ev_per_atom": -8.59
}